# 1
A geometry-optimized Sc2PaIr2 structure. Source: Alexandria via LeMat-Bulk, functional GGA-PBE.

Results
calculated formation energy	-0.724	eV per atom
density of states at the Fermi level	6.4	states/eV/f.u.
total energy	-43.50	eV for the cell shown

abc: 4.6385 4.6385 5.7663
angles: 90.03 90.03 60.03
Fractional coordinates of all 5 atoms:
Ir 0.8335 0.3335 0.1639
Ir 0.1665 0.6665 0.8361
Sc 0.8333 0.3333 0.6481
Sc 0.1667 0.6667 0.3519
Pa 0.5000 0.0000 0.0000


# 2
A geometry-optimized Tb4Pm2Pb3O2 structure. Source: Alexandria via LeMat-Bulk, functional GGA-PBE.

Results
density of states at the Fermi level	7.3	states/eV/f.u.
total energy	-64.53	eV for the cell shown

abc: 4.7059 4.7059 13.3143
angles: 100.18 100.18 90.00
Fractional coordinates of all 11 atoms:
O 0.4039 0.4039 0.8079
O 0.5961 0.5961 0.1921
Tb 0.4172 0.9172 0.8344
Tb 0.9172 0.4172 0.8344
Tb 0.5828 0.0828 0.1656
Tb 0.0828 0.5828 0.1656
Pb 0.1773 0.1773 0.3546
Pb 0.8227 0.8227 0.6454
Pb 0.0000 0.0000 0.0000
Pm 0.3061 0.3061 0.6122
Pm 0.6939 0.6939 0.3878


# 3
A geometry-optimized NaMgNpBr6 structure. Source: Alexandria via LeMat-Bulk, functional GGA-PBE.

Results
density of states at the Fermi level	9.2	states/eV/f.u.
total energy	-77.04	eV for the cell shown

abc: 7.1828 7.1828 13.2966
angles: 90.00 90.00 120.00
Fractional coordinates of all 18 atoms:
Br 0.6559 0.0204 0.3680
Br 0.6355 0.6559 0.6320
Br 0.9796 0.3441 0.1320
Br 0.3441 0.9796 0.6320
Br 0.6559 0.6355 0.1320
Br 0.3441 0.3645 0.8680
Br 0.6355 0.9796 0.8680
Br 0.0204 0.3645 0.6320
Br 0.0204 0.6559 0.8680
Br 0.9796 0.6355 0.3680
Br 0.3645 0.0204 0.1320
Br 0.3645 0.3441 0.3680
Np 0.3333 0.6667 0.2500
Np 0.6667 0.3333 0.7500
Mg 0.3333 0.6667 0.7500
Mg 0.6667 0.3333 0.2500
Na 0.0000 0.0000 0.5000
Na 0.0000 0.0000 0.0000


# 4
A geometry-optimized Ti2CuAg structure. Source: Alexandria via LeMat-Bulk, functional GGA-PBE.

Results
calculated formation energy	0.029	eV per atom
density of states at the Fermi level	4.6	states/eV/f.u.
total energy	-22.62	eV for the cell shown

abc: 2.7886 2.7886 8.1332
angles: 90.00 90.00 90.00
Fractional coordinates of all 4 atoms:
Cu 0.5000 0.5000 0.0000
Ti 0.0000 0.0000 0.7721
Ti 0.0000 0.0000 0.2279
Ag 0.5000 0.5000 0.5000


# 5
A geometry-optimized Nb2Ga3Os structure. Source: Alexandria via LeMat-Bulk, functional GGA-PBE.

Results
calculated formation energy	0.216	eV per atom
density of states at the Fermi level	6.1	states/eV/f.u.
total energy	-39.15	eV for the cell shown

abc: 4.5528 5.2671 5.5069
angles: 118.57 114.42 90.00
Fractional coordinates of all 6 atoms:
Ga 0.6567 0.6567 0.3135
Ga 0.3433 0.3433 0.6865
Ga 0.0000 0.0000 0.0000
Nb 0.6721 0.1721 0.3441
Nb 0.3279 0.8279 0.6559
Os 0.0000 0.5000 0.0000


# 6
A geometry-optimized Ta2TiMo structure. Source: Alexandria via LeMat-Bulk, functional GGA-PBE.

Results
calculated formation energy	0.263	eV per atom
density of states at the Fermi level	4.3	states/eV/f.u.
total energy	-41.38	eV for the cell shown

abc: 3.2648 3.1428 7.2523
angles: 102.51 90.00 90.00
Fractional coordinates of all 4 atoms:
Mo 0.0000 0.0714 0.1428
Ti 0.0000 0.3050 0.6100
Ta 0.5000 0.4638 0.9277
Ta 0.5000 0.6852 0.3704


# 7
A geometry-optimized LaGeAu3 structure. Source: Alexandria via LeMat-Bulk, functional GGA-PBE.

Results
calculated formation energy	-0.572	eV per atom
polymorph energy (0 for the lowest one)	0	meV per atom
density of states at the Fermi level	1.7	states/eV/f.u.
total energy	-22.24	eV for the cell shown

abc: 5.0331 5.0331 5.3316
angles: 64.49 64.49 82.03
Fractional coordinates of all 5 atoms:
Au 0.3012 0.8746 0.3289
Au 0.8746 0.3012 0.3289
Au 0.9249 0.9249 0.0142
Ge 0.2964 0.2964 0.5280
La 0.6041 0.6041 0.7976


# 8
A geometry-optimized LiNp3Ag3Se8 structure. Source: Alexandria via LeMat-Bulk, functional GGA-PBE.

Results
density of states at the Fermi level	26.7	states/eV/f.u.
total energy	-88.10	eV for the cell shown

abc: 8.2743 8.2746 7.8621
angles: 121.77 90.00 120.00
Fractional coordinates of all 15 atoms:
Np 0.5000 0.5000 0.5000
Np 0.5000 0.0000 0.5000
Np 0.0000 0.5000 0.5000
Li 0.0000 0.0000 0.5000
Se 0.2590 0.0100 0.2611
Se 0.2490 0.9900 0.7389
Se 0.7508 0.5016 0.7522
Se 0.7510 0.0100 0.2611
Se 0.7410 0.9900 0.7389
Se 0.7510 0.5020 0.2612
Se 0.2492 0.4984 0.2478
Se 0.2490 0.4980 0.7388
Ag 0.0000 0.5000 0.0000
Ag 0.5000 0.5000 0.0000
Ag 0.0000 0.0000 0.0000